First-principles (GGA-PBE) data for an optimized crystal structure of Np3Al5Te12, as listed in the Alexandria database.

a b c (Å): 14.8642 14.8642 14.8642
angles (deg): 109.47 109.47 109.47
Closest atoms and distances in Å follow each position.
Atoms (fractional coordinates):
Np  0.1250  0.2500  0.3750  8 Te 3.29-3.30
Np  0.1250  0.3750  0.7500  8 Te 3.29-3.30
Np  0.2500  0.3750  0.1250  8 Te 3.29-3.30
Np  0.2500  0.8750  0.6250  8 Te 3.29-3.30
Np  0.3750  0.1250  0.2500  8 Te 3.29-3.30
Np  0.3750  0.7500  0.1250  8 Te 3.29-3.30
Np  0.6250  0.2500  0.8750  8 Te 3.29-3.30
Np  0.6250  0.8750  0.7500  8 Te 3.29-3.30
Np  0.7500  0.1250  0.3750  8 Te 3.29-3.30
Np  0.7500  0.6250  0.8750  8 Te 3.29-3.30
Np  0.8750  0.6250  0.2500  8 Te 3.29-3.30
Np  0.8750  0.7500  0.6250  8 Te 3.29-3.30
Al  0.0000  0.0000  0.0000  6 Te 2.81
Al  0.0000  0.0000  0.5000  6 Te 2.81
Al  0.0000  0.5000  0.0000  6 Te 2.81
Al  0.0000  0.5000  0.5000  6 Te 2.81
Al  0.1250  0.7500  0.8750  4 Te 2.64
Al  0.1250  0.8750  0.2500  4 Te 2.64
Al  0.2500  0.1250  0.8750  4 Te 2.64
Al  0.2500  0.6250  0.3750  4 Te 2.64
Al  0.3750  0.2500  0.6250  4 Te 2.64
Al  0.3750  0.6250  0.7500  4 Te 2.64
Al  0.5000  0.0000  0.0000  6 Te 2.81
Al  0.5000  0.0000  0.5000  6 Te 2.81
Al  0.5000  0.5000  0.0000  6 Te 2.81
Al  0.5000  0.5000  0.5000  6 Te 2.81
Al  0.6250  0.3750  0.2500  4 Te 2.64
Al  0.6250  0.7500  0.3750  4 Te 2.64
Al  0.7500  0.3750  0.6250  4 Te 2.64
Al  0.7500  0.8750  0.1250  4 Te 2.64
Al  0.8750  0.1250  0.7500  4 Te 2.64
Al  0.8750  0.2500  0.1250  4 Te 2.64
Te  0.0351  0.2108  0.1234  2 Al 2.64-2.81
Te  0.0351  0.3243  0.9116  2 Al 2.64-2.81
Te  0.0873  0.7108  0.6757  2 Al 2.64-2.81
Te  0.0873  0.8766  0.4116  2 Al 2.64-2.81
Te  0.0884  0.6234  0.4127  2 Al 2.64-2.81
Te  0.0884  0.9649  0.6757  2 Al 2.64-2.81
Te  0.1234  0.0351  0.2108  2 Al 2.64-2.81
Te  0.1234  0.5884  0.9127  2 Al 2.64-2.81
Te  0.1757  0.2108  0.5873  2 Al 2.64-2.81
Te  0.1757  0.4649  0.5884  2 Al 2.64-2.81
Te  0.2108  0.1234  0.0351  2 Al 2.64-2.81
Te  0.2108  0.5873  0.1757  2 Al 2.64-2.81
Te  0.2892  0.3243  0.9127  2 Al 2.64-2.81
Te  0.2892  0.4649  0.3766  2 Al 2.64-2.81
Te  0.3243  0.9116  0.0351  2 Al 2.64-2.81
Te  0.3243  0.9127  0.2892  2 Al 2.64-2.81
Te  0.3766  0.2892  0.4649  2 Al 2.64-2.81
Te  0.3766  0.5873  0.9116  2 Al 2.64-2.81
Te  0.4116  0.0873  0.8766  2 Al 2.64-2.81
Te  0.4116  0.8243  0.5351  2 Al 2.64-2.81
Te  0.4127  0.0884  0.6234  2 Al 2.64-2.81
Te  0.4127  0.8243  0.7892  2 Al 2.64-2.81
Te  0.4649  0.3766  0.2892  2 Al 2.64-2.81
Te  0.4649  0.5884  0.1757  2 Al 2.64-2.81
Te  0.5351  0.4116  0.8243  2 Al 2.64-2.81
Te  0.5351  0.6234  0.7108  2 Al 2.64-2.81
Te  0.5873  0.1757  0.2108  2 Al 2.64-2.81
Te  0.5873  0.9116  0.3766  2 Al 2.64-2.81
Te  0.5884  0.1757  0.4649  2 Al 2.64-2.81
Te  0.5884  0.9127  0.1234  2 Al 2.64-2.81
Te  0.6234  0.4127  0.0884  2 Al 2.64-2.81
Te  0.6234  0.7108  0.5351  2 Al 2.64-2.81
Te  0.6757  0.0873  0.7108  2 Al 2.64-2.81
Te  0.6757  0.0884  0.9649  2 Al 2.64-2.81
Te  0.7108  0.5351  0.6234  2 Al 2.64-2.81
Te  0.7108  0.6757  0.0873  2 Al 2.64-2.81
Te  0.7892  0.4127  0.8243  2 Al 2.64-2.81
Te  0.7892  0.8766  0.9649  2 Al 2.64-2.81
Te  0.8243  0.5351  0.4116  2 Al 2.64-2.81
Te  0.8243  0.7892  0.4127  2 Al 2.64-2.81
Te  0.8766  0.4116  0.0873  2 Al 2.64-2.81
Te  0.8766  0.9649  0.7892  2 Al 2.64-2.81
Te  0.9116  0.0351  0.3243  2 Al 2.64-2.81
Te  0.9116  0.3766  0.5873  2 Al 2.64-2.81
Te  0.9127  0.1234  0.5884  2 Al 2.64-2.81
Te  0.9127  0.2892  0.3243  2 Al 2.64-2.81
Te  0.9649  0.6757  0.0884  2 Al 2.64-2.81
Te  0.9649  0.7892  0.8766  2 Al 2.64-2.81

Results
Calculated density = 6.2 g cm⁻³
Raw formation energy = -463 meV/atom
Energy = -417.968 eV per cell
SG = Ia-3d (230)

***

First-principles (GGA-PBE) data for an optimized crystal structure of NpAlTl2Te4, as listed in the Alexandria database.

a b c (Å): 7.0315 7.0315 7.0315
angles (deg): 107.01 107.01 114.52
Closest atoms and distances in Å follow each position.
Atoms (fractional coordinates):
Np  0.0000  0.0000  0.0000  4 Te 3.08
Al  0.5000  0.5000  0.0000  4 Te 2.67
Tl  0.0000  0.5000  0.5000  8 Te 3.45-3.78, 2 Tl 3.80
Tl  0.5000  0.0000  0.5000  8 Te 3.45-3.78, 2 Tl 3.80
Te  0.1098  0.1098  0.6371  1 Al 2.67
Te  0.4727  0.4727  0.3629  1 Al 2.67
Te  0.5273  0.8902  0.0000  1 Al 2.67
Te  0.8902  0.5273  0.0000  1 Al 2.67

Results
Calculated density = 7.4 g cm⁻³
Raw formation energy = -396 meV/atom
Energy = -37.147 eV per cell
SG = I-42m (121)